No. 1
# BaCr2Ru, relaxed, DFT GGA-PBE
# - crystal system = cubic
# - formation energy (eV/f.u.) = 4.20
data_BaCr2Ru
_chemical_formula_sum 'Ba4 Cr8 Ru4'
_space_group_name_H-M_alt 'F -4 3 m'
_space_group_IT_number 216
_space_group_name_Hall 'F -4 2 3'
_cell_length_a 6.858
_cell_length_b 6.858
_cell_length_c 6.858
_cell_angle_alpha 90.00
_cell_angle_beta 90.00
_cell_angle_gamma 90.00
loop_
_atom_site_label
_atom_site_type_symbol
_atom_site_fract_x
_atom_site_fract_y
_atom_site_fract_z
Ba1 Ba 0.000 0.000 0.000
Cr1 Cr 0.000 0.000 0.500
Cr2 Cr 0.250 0.250 0.750
Ru1 Ru 0.250 0.250 0.250


No. 2
# AlFe2Br, relaxed, DFT GGA-PBE
# - crystal system = orthorhombic
# - ΔE_f (raw) (eV/atom) = 0.514
data_AlFe2Br
_chemical_formula_sum 'Al2 Fe4 Br2'
_space_group_name_H-M_alt 'I m m m'
_space_group_IT_number 71
_space_group_name_Hall '-I 2 2'
_cell_length_a 2.931
_cell_length_b 5.080
_cell_length_c 8.599
_cell_angle_alpha 90.00
_cell_angle_beta 90.00
_cell_angle_gamma 90.00
loop_
_atom_site_label
_atom_site_type_symbol
_atom_site_fract_x
_atom_site_fract_y
_atom_site_fract_z
Al1 Al 0.000 0.000 0.000
Fe1 Fe 0.000 0.500 0.252
Br1 Br 0.000 0.000 0.500


Record-wise E above lowest polymorph values, in meV/atom: 527.6 395.7